Entry 1:
The following is a DFT calculation (meta-GGA SCAN) of a PBEsol-optimized structure of YAs2SeBr.

```
data_YAs2SeBr
_chemical_formula_sum 'Y1 As2 Se1 Br1'
_cell_length_a 4.973
_cell_length_b 4.973
_cell_length_c 5.009
_cell_angle_alpha 90.00
_cell_angle_beta 90.00
_cell_angle_gamma 90.00
_space_group_name_H-M_alt 'P 4/m m m'
_space_group_IT_number 123
_space_group_name_Hall '-P 4 2'
loop_
_atom_site_label
_atom_site_type_symbol
_atom_site_fract_x
_atom_site_fract_y
_atom_site_fract_z
Y1 Y 0.000 0.000 0.000
As1 As 0.000 0.500 0.500
Se1 Se 0.500 0.500 0.500
Br1 Br 0.500 0.500 0.000
```

ρ, g/cm3: 5.3
Fermi-level density of states, states/eV/atom: 0.3010
ΔE_f (raw), eV/atom: -0.01
Calculated volume, A^3/atom: 24.77
Energy above the lowest structure with this stoichiometry, meV/atom: 0

---

Entry 2:
The following is a DFT calculation (meta-GGA SCAN) of a PBEsol-optimized structure of SiAsBr.

```
data_SiAsBr
_chemical_formula_sum 'Si4 As4 Br4'
_cell_length_a 6.502
_cell_length_b 6.502
_cell_length_c 6.502
_cell_angle_alpha 90.00
_cell_angle_beta 90.00
_cell_angle_gamma 90.00
_space_group_name_H-M_alt 'F -4 3 m'
_space_group_IT_number 216
_space_group_name_Hall 'F -4 2 3'
loop_
_atom_site_label
_atom_site_type_symbol
_atom_site_fract_x
_atom_site_fract_y
_atom_site_fract_z
Si1 Si 0.000 0.000 0.000
As1 As 0.250 0.250 0.750
Br1 Br 0.000 0.000 0.500
```

ρ, g/cm3: 4.4
Fermi-level density of states, states/eV/atom: 0.4223
ΔE_f (raw), eV/atom: 0.70
Calculated volume, A^3/atom: 22.91

---

Entry 3:
The following is a DFT calculation (meta-GGA SCAN) of a PBEsol-optimized structure of SiAsBr2.

```
data_SiAsBr2
_chemical_formula_sum 'Si3 As3 Br6'
_cell_length_a 3.3610
_cell_length_b 3.3610
_cell_length_c 28.1356
_cell_angle_alpha 90.00
_cell_angle_beta 90.00
_cell_angle_gamma 120.00
_space_group_name_H-M_alt 'R -3 m'
_space_group_IT_number 166
_space_group_name_Hall '-R 3 2"'
loop_
_atom_site_label
_atom_site_type_symbol
_atom_site_fract_x
_atom_site_fract_y
_atom_site_fract_z
Si1 Si 0.0000 0.0000 0.0000
As1 As 0.0000 0.0000 0.5000
Br1 Br 0.0000 0.0000 0.4067
```

ρ, g/cm3: 4.8
Fermi-level density of states, states/eV/atom: 0.4056
ΔE_f (raw), eV/atom: 0.45
Calculated volume, A^3/atom: 22.94

---

Entry 4:
The following is a DFT calculation (meta-GGA SCAN) of a PBEsol-optimized structure of SiSnAsBr2.

```
data_SiSnAsBr2
_chemical_formula_sum 'Si1 Sn1 As1 Br2'
_cell_length_a 5.298
_cell_length_b 5.298
_cell_length_c 5.400
_cell_angle_alpha 90.00
_cell_angle_beta 90.00
_cell_angle_gamma 90.00
_space_group_name_H-M_alt 'P 4/m m m'
_space_group_IT_number 123
_space_group_name_Hall '-P 4 2'
loop_
_atom_site_label
_atom_site_type_symbol
_atom_site_fract_x
_atom_site_fract_y
_atom_site_fract_z
Si1 Si 0.000 0.000 0.000
Sn1 Sn 0.500 0.500 0.500
As1 As 0.500 0.500 0.000
Br1 Br 0.000 0.500 0.500
```

ρ, g/cm3: 4.2
Fermi-level density of states, states/eV/atom: 0.2934
ΔE_f (raw), eV/atom: 0.67
Calculated volume, A^3/atom: 30.31

---

Entry 5:
The following is a DFT calculation (meta-GGA SCAN) of a PBEsol-optimized structure of SiTcAs2Br.

```
data_SiTcAs2Br
_chemical_formula_sum 'Si1 Tc1 As2 Br1'
_cell_length_a 4.652
_cell_length_b 4.652
_cell_length_c 5.292
_cell_angle_alpha 90.00
_cell_angle_beta 90.00
_cell_angle_gamma 90.00
_space_group_name_H-M_alt 'P 4/m m m'
_space_group_IT_number 123
_space_group_name_Hall '-P 4 2'
loop_
_atom_site_label
_atom_site_type_symbol
_atom_site_fract_x
_atom_site_fract_y
_atom_site_fract_z
Si1 Si 0.000 0.000 0.000
Tc1 Tc 0.500 0.500 0.500
As1 As 0.000 0.500 0.500
Br1 Br 0.500 0.500 0.000
```

ρ, g/cm3: 5.2
Fermi-level density of states, states/eV/atom: 0.6790
ΔE_f (raw), eV/atom: 0.79
Calculated volume, A^3/atom: 22.90

---

Entry 6:
The following is a DFT calculation (meta-GGA SCAN) of a PBEsol-optimized structure of TlSiAsBr2.

```
data_TlSiAsBr2
_chemical_formula_sum 'Tl1 Si1 As1 Br2'
_cell_length_a 5.180
_cell_length_b 5.180
_cell_length_c 4.868
_cell_angle_alpha 90.00
_cell_angle_beta 90.00
_cell_angle_gamma 90.00
_space_group_name_H-M_alt 'P 4/m m m'
_space_group_IT_number 123
_space_group_name_Hall '-P 4 2'
loop_
_atom_site_label
_atom_site_type_symbol
_atom_site_fract_x
_atom_site_fract_y
_atom_site_fract_z
Tl1 Tl 0.000 0.000 0.000
Si1 Si 0.500 0.500 0.500
As1 As 0.500 0.500 0.000
Br1 Br 0.000 0.500 0.500
```

ρ, g/cm3: 5.9
Fermi-level density of states, states/eV/atom: 0.4051
ΔE_f (raw), eV/atom: -0.01
Calculated volume, A^3/atom: 26.12

---

Entry 7:
The following is a DFT calculation (meta-GGA SCAN) of a PBEsol-optimized structure of SnAsBr2.

```
data_SnAsBr2
_chemical_formula_sum 'Sn3 As3 Br6'
_cell_length_a 3.3856
_cell_length_b 3.3856
_cell_length_c 30.0591
_cell_angle_alpha 90.00
_cell_angle_beta 90.00
_cell_angle_gamma 120.00
_space_group_name_H-M_alt 'R -3 m'
_space_group_IT_number 166
_space_group_name_Hall '-R 3 2"'
loop_
_atom_site_label
_atom_site_type_symbol
_atom_site_fract_x
_atom_site_fract_y
_atom_site_fract_z
Sn1 Sn 0.0000 0.0000 0.0000
As1 As 0.0000 0.0000 0.5000
Br1 Br 0.0000 0.0000 0.0940
```

ρ, g/cm3: 5.9
Fermi-level density of states, states/eV/atom: 0.4164
ΔE_f (raw), eV/atom: 0.20
Calculated volume, A^3/atom: 24.87

---

Entry 8:
The following is a DFT calculation (meta-GGA SCAN) of a PBEsol-optimized structure of SnTeAs2Br.

```
data_SnTeAs2Br
_chemical_formula_sum 'Sn1 Te1 As2 Br1'
_cell_length_a 5.290
_cell_length_b 5.290
_cell_length_c 5.368
_cell_angle_alpha 90.00
_cell_angle_beta 90.00
_cell_angle_gamma 90.00
_space_group_name_H-M_alt 'P 4/m m m'
_space_group_IT_number 123
_space_group_name_Hall '-P 4 2'
loop_
_atom_site_label
_atom_site_type_symbol
_atom_site_fract_x
_atom_site_fract_y
_atom_site_fract_z
Sn1 Sn 0.000 0.000 0.000
Te1 Te 0.500 0.500 0.500
As1 As 0.000 0.500 0.500
Br1 Br 0.500 0.500 0.000
```

ρ, g/cm3: 5.3
Fermi-level density of states, states/eV/atom: 0.7751
ΔE_f (raw), eV/atom: 0.66
Calculated volume, A^3/atom: 30.05
Energy above the lowest structure with this stoichiometry, meV/atom: 0

---

Entry 9:
The following is a DFT calculation (meta-GGA SCAN) of a PBEsol-optimized structure of ZrSnAsBr2.

```
data_ZrSnAsBr2
_chemical_formula_sum 'Zr1 Sn1 As1 Br2'
_cell_length_a 5.263
_cell_length_b 5.263
_cell_length_c 5.323
_cell_angle_alpha 90.00
_cell_angle_beta 90.00
_cell_angle_gamma 90.00
_space_group_name_H-M_alt 'P 4/m m m'
_space_group_IT_number 123
_space_group_name_Hall '-P 4 2'
loop_
_atom_site_label
_atom_site_type_symbol
_atom_site_fract_x
_atom_site_fract_y
_atom_site_fract_z
Zr1 Zr 0.000 0.000 0.000
Sn1 Sn 0.500 0.500 0.500
As1 As 0.500 0.500 0.000
Br1 Br 0.000 0.500 0.500
```

ρ, g/cm3: 5.0
Fermi-level density of states, states/eV/atom: 0.5339
ΔE_f (raw), eV/atom: 0.45
Calculated volume, A^3/atom: 29.49

---

Entry 10:
The following is a DFT calculation (meta-GGA SCAN) of a PBEsol-optimized structure of SrAsBr2.

```
data_SrAsBr2
_chemical_formula_sum 'Sr1 As1 Br2'
_cell_length_a 4.324
_cell_length_b 4.324
_cell_length_c 6.174
_cell_angle_alpha 90.00
_cell_angle_beta 90.00
_cell_angle_gamma 90.00
_space_group_name_H-M_alt 'P 4 m m'
_space_group_IT_number 99
loop_
_space_group_symop_operation_xyz
'x,y,z'
'-y,x,z'
'-x,-y,z'
'y,-x,z'
'-x,y,z'
'y,x,z'
'x,-y,z'
'-y,-x,z'
loop_
_atom_site_label
_atom_site_type_symbol
_atom_site_fract_x
_atom_site_fract_y
_atom_site_fract_z
Sr1 Sr 0.000 0.000 0.000
As1 As 0.500 0.500 0.167
Br1 Br 0.000 0.000 0.484
Br2 Br 0.500 0.500 0.769
```

ρ, g/cm3: 4.6
Fermi-level density of states, states/eV/atom: 0.4951
ΔE_f (raw), eV/atom: -0.94
Calculated volume, A^3/atom: 28.86
Energy above the lowest structure with this stoichiometry, meV/atom: 67

---

Entry 11:
The following is a DFT calculation (meta-GGA SCAN) of a PBEsol-optimized structure of SrAsBr2.

```
data_SrAsBr2
_chemical_formula_sum 'Sr3 As3 Br6'
_cell_length_a 4.6089
_cell_length_b 4.6089
_cell_length_c 24.6322
_cell_angle_alpha 90.00
_cell_angle_beta 90.00
_cell_angle_gamma 120.00
_space_group_name_H-M_alt 'R -3 m'
_space_group_IT_number 166
_space_group_name_Hall '-R 3 2"'
loop_
_atom_site_label
_atom_site_type_symbol
_atom_site_fract_x
_atom_site_fract_y
_atom_site_fract_z
Sr1 Sr 0.0000 0.0000 0.0000
As1 As 0.0000 0.0000 0.5000
Br1 Br 0.0000 0.0000 0.2728
```

ρ, g/cm3: 3.5
ΔE_f (raw), eV/atom: -1.00
Calculated volume, A^3/atom: 37.76
Energy above the lowest structure with this stoichiometry, meV/atom: 0

---

Entry 12:
The following is a DFT calculation (meta-GGA SCAN) of a PBEsol-optimized structure of TaAsBr2.

```
data_TaAsBr2
_chemical_formula_sum 'Ta4 As4 Br8'
_cell_length_a 9.209
_cell_length_b 9.209
_cell_length_c 4.951
_cell_angle_alpha 90.00
_cell_angle_beta 90.00
_cell_angle_gamma 90.00
_space_group_name_H-M_alt 'I -4 2 d'
_space_group_IT_number 122
_space_group_name_Hall 'I -4 2bw'
loop_
_atom_site_label
_atom_site_type_symbol
_atom_site_fract_x
_atom_site_fract_y
_atom_site_fract_z
Ta1 Ta 0.000 0.000 0.000
As1 As 0.000 0.000 0.500
Br1 Br 0.116 0.750 0.125
```

ρ, g/cm3: 6.6
Fermi-level density of states, states/eV/atom: 0.5627
ΔE_f (raw), eV/atom: -0.02
Calculated volume, A^3/atom: 26.24
Energy above the lowest structure with this stoichiometry, meV/atom: 251

---

Entry 13:
The following is a DFT calculation (meta-GGA SCAN) of a PBEsol-optimized structure of TaAsBr4.

```
data_TaAsBr4
_chemical_formula_sum 'Ta4 As4 Br16'
_cell_length_a 8.122
_cell_length_b 8.122
_cell_length_c 8.122
_cell_angle_alpha 90.00
_cell_angle_beta 90.00
_cell_angle_gamma 90.00
_space_group_name_H-M_alt 'F -4 3 m'
_space_group_IT_number 216
_space_group_name_Hall 'F -4 2 3'
loop_
_atom_site_label
_atom_site_type_symbol
_atom_site_fract_x
_atom_site_fract_y
_atom_site_fract_z
Ta1 Ta 0.000 0.000 0.000
As1 As 0.250 0.250 0.250
Br1 Br 0.126 0.126 0.626
```

ρ, g/cm3: 7.1
Fermi-level density of states, states/eV/atom: 1.1630
ΔE_f (raw), eV/atom: 1.55
Calculated volume, A^3/atom: 22.32

---

Entry 14:
The following is a DFT calculation (meta-GGA SCAN) of a PBEsol-optimized structure of TaAs2Br.

```
data_TaAs2Br
_chemical_formula_sum 'Ta3 As6 Br3'
_cell_length_a 3.3564
_cell_length_b 3.3564
_cell_length_c 24.4342
_cell_angle_alpha 90.00
_cell_angle_beta 90.00
_cell_angle_gamma 120.00
_space_group_name_H-M_alt 'R -3 m'
_space_group_IT_number 166
_space_group_name_Hall '-R 3 2"'
loop_
_atom_site_label
_atom_site_type_symbol
_atom_site_fract_x
_atom_site_fract_y
_atom_site_fract_z
Ta1 Ta 0.0000 0.0000 0.0000
As1 As 0.0000 0.0000 0.2618
Br1 Br 0.0000 0.0000 0.5000
```

ρ, g/cm3: 8.6
Fermi-level density of states, states/eV/atom: 0.5903
ΔE_f (raw), eV/atom: -0.02
Calculated volume, A^3/atom: 19.87
Energy above the lowest structure with this stoichiometry, meV/atom: 260

---

Entry 15:
The following is a DFT calculation (meta-GGA SCAN) of a PBEsol-optimized structure of TaAs2Br.

```
data_TaAs2Br
_chemical_formula_sum 'Ta4 As8 Br4'
_cell_length_a 6.648
_cell_length_b 6.648
_cell_length_c 6.648
_cell_angle_alpha 90.00
_cell_angle_beta 90.00
_cell_angle_gamma 90.00
_space_group_name_H-M_alt 'F m -3 m'
_space_group_IT_number 225
_space_group_name_Hall '-F 4 2 3'
loop_
_atom_site_label
_atom_site_type_symbol
_atom_site_fract_x
_atom_site_fract_y
_atom_site_fract_z
Ta1 Ta 0.000 0.000 0.000
As1 As 0.250 0.250 0.250
Br1 Br 0.000 0.000 0.500
```

ρ, g/cm3: 9.3
Fermi-level density of states, states/eV/atom: 1.1646
ΔE_f (raw), eV/atom: 0.71
Calculated volume, A^3/atom: 18.36
Energy above the lowest structure with this stoichiometry, meV/atom: 994

---

Entry 16:
The following is a DFT calculation (meta-GGA SCAN) of a PBEsol-optimized structure of TaAsBr2.

```
data_TaAsBr2
_chemical_formula_sum 'Ta2 As2 Br4'
_cell_length_a 5.061
_cell_length_b 13.557
_cell_length_c 3.244
_cell_angle_alpha 90.00
_cell_angle_beta 90.00
_cell_angle_gamma 90.00
_space_group_name_H-M_alt 'C m m m'
_space_group_IT_number 65
_space_group_name_Hall '-C 2 2'
loop_
_atom_site_label
_atom_site_type_symbol
_atom_site_fract_x
_atom_site_fract_y
_atom_site_fract_z
Ta1 Ta 0.000 0.000 0.000
As1 As 0.000 0.500 0.000
Br1 Br 0.000 0.150 0.500
```

ρ, g/cm3: 6.2
Fermi-level density of states, states/eV/atom: 0.5422
ΔE_f (raw), eV/atom: -0.28
Calculated volume, A^3/atom: 27.82
Energy above the lowest structure with this stoichiometry, meV/atom: 0

---

Entry 17:
The following is a DFT calculation (meta-GGA SCAN) of a PBEsol-optimized structure of TaAs2Br.

```
data_TaAs2Br
_chemical_formula_sum 'Ta1 As2 Br1'
_cell_length_a 3.296
_cell_length_b 3.296
_cell_length_c 7.339
_cell_angle_alpha 90.00
_cell_angle_beta 90.00
_cell_angle_gamma 90.00
_space_group_name_H-M_alt 'P 4 m m'
_space_group_IT_number 99
loop_
_space_group_symop_operation_xyz
'x,y,z'
'-y,x,z'
'-x,-y,z'
'y,-x,z'
'-x,y,z'
'y,x,z'
'x,-y,z'
'-y,-x,z'
loop_
_atom_site_label
_atom_site_type_symbol
_atom_site_fract_x
_atom_site_fract_y
_atom_site_fract_z
Ta1 Ta 0.000 0.000 0.000
As1 As 0.000 0.000 0.365
As2 As 0.500 0.500 0.179
Br1 Br 0.500 0.500 0.759
```

ρ, g/cm3: 8.6
Fermi-level density of states, states/eV/atom: 0.4326
ΔE_f (raw), eV/atom: -0.06
Calculated volume, A^3/atom: 19.94
Energy above the lowest structure with this stoichiometry, meV/atom: 226

---

Entry 18:
The following is a DFT calculation (meta-GGA SCAN) of a PBEsol-optimized structure of TaAs2Br.

```
data_TaAs2Br
_chemical_formula_sum 'Ta2 As4 Br2'
_cell_length_a 8.997
_cell_length_b 3.501
_cell_length_c 6.536
_cell_angle_alpha 90.00
_cell_angle_beta 107.05
_cell_angle_gamma 90.00
_space_group_name_H-M_alt 'C 1 m 1'
_space_group_IT_number 8
loop_
_space_group_symop_operation_xyz
'x,y,z'
'x,-y,z'
'x+1/2,y+1/2,z'
'x+1/2,-y+1/2,z'
loop_
_atom_site_label
_atom_site_type_symbol
_atom_site_fract_x
_atom_site_fract_y
_atom_site_fract_z
Ta1 Ta 0.000 0.000 0.000
As1 As 0.049 0.500 0.301
As2 As 0.216 0.500 0.057
Br1 Br 0.345 0.000 0.697
```

ρ, g/cm3: 6.9
ΔE_f (raw), eV/atom: -0.28
Calculated volume, A^3/atom: 24.60
Energy above the lowest structure with this stoichiometry, meV/atom: 0

---

Entry 19:
The following is a DFT calculation (meta-GGA SCAN) of a PBEsol-optimized structure of TaAs2Br.

```
data_TaAs2Br
_chemical_formula_sum 'Ta1 As2 Br1'
_cell_length_a 3.409
_cell_length_b 3.409
_cell_length_c 6.665
_cell_angle_alpha 90.00
_cell_angle_beta 90.00
_cell_angle_gamma 90.00
_space_group_name_H-M_alt 'P 4/m m m'
_space_group_IT_number 123
_space_group_name_Hall '-P 4 2'
loop_
_atom_site_label
_atom_site_type_symbol
_atom_site_fract_x
_atom_site_fract_y
_atom_site_fract_z
Ta1 Ta 0.000 0.000 0.000
As1 As 0.500 0.500 0.194
Br1 Br 0.000 0.000 0.500
```

ρ, g/cm3: 8.8
Fermi-level density of states, states/eV/atom: 0.5422
ΔE_f (raw), eV/atom: -0.08
Calculated volume, A^3/atom: 19.36
Energy above the lowest structure with this stoichiometry, meV/atom: 204

---

Entry 20:
The following is a DFT calculation (meta-GGA SCAN) of a PBEsol-optimized structure of TaTeAsBr2.

```
data_TaTeAsBr2
_chemical_formula_sum 'Ta1 Te1 As1 Br2'
_cell_length_a 4.897
_cell_length_b 4.897
_cell_length_c 5.312
_cell_angle_alpha 90.00
_cell_angle_beta 90.00
_cell_angle_gamma 90.00
_space_group_name_H-M_alt 'P 4/m m m'
_space_group_IT_number 123
_space_group_name_Hall '-P 4 2'
loop_
_atom_site_label
_atom_site_type_symbol
_atom_site_fract_x
_atom_site_fract_y
_atom_site_fract_z
Ta1 Ta 0.000 0.000 0.000
Te1 Te 0.500 0.500 0.500
As1 As 0.000 0.000 0.500
Br1 Br 0.000 0.500 0.000
```

ρ, g/cm3: 7.1
Fermi-level density of states, states/eV/atom: 0.7506
ΔE_f (raw), eV/atom: 0.23
Calculated volume, A^3/atom: 25.48